Entry 1:
Computed, not measured: a relaxed LiMnCd3 crystal at the GGA-PBEsol level of DFT.

Formation enthalpy at 0 K = 0.528 eV/atom
SG = Pm-3m, No. 221

Cell lengths 5.083, 5.083, 5.083 Å; angles 90.00, 90.00, 90.00 degrees
Fractional coordinates of all 5 atoms:
Li  0.500  0.500  0.500
Cd  0.000  0.500  0.000
Cd  0.000  0.000  0.500
Cd  0.500  0.000  0.000
Mn  0.000  0.000  0.000



Entry 2:
Computed, not measured: a relaxed ScRe2Au crystal at the GGA-PBEsol level of DFT.

Formation enthalpy at 0 K = 0.252 eV/atom
SG = Cmmm, No. 65

Cell lengths 2.696, 5.089, 5.089 Å; angles 114.33, 90.00, 90.00 degrees
Fractional coordinates of all 4 atoms:
Re  0.000  0.000  0.500
Re  0.000  0.500  0.000
Sc  0.500  0.000  0.000
Au  0.500  0.500  0.500



Entry 3:
Computed, not measured: a relaxed SrMn2Tl crystal at the GGA-PBEsol level of DFT.

Formation enthalpy at 0 K = 0.654 eV/atom
SG = F-43m, No. 216

Cell lengths 5.055, 5.055, 5.055 Å; angles 60.00, 60.00, 60.00 degrees
Fractional coordinates of all 4 atoms:
Tl  0.250  0.250  0.250
Mn  0.750  0.750  0.750
Mn  0.000  0.000  0.000
Sr  0.500  0.500  0.500



Entry 4:
Computed, not measured: a relaxed Cs2PSe crystal at the GGA-PBEsol level of DFT.

SG = Fm-3m, No. 225
Formation energy from raw total energies = -5.2 kJ/mol of atoms

Cell lengths 5.929, 5.929, 5.929 Å; angles 60.00, 60.00, 60.00 degrees
Fractional coordinates of all 4 atoms:
Cs  0.250  0.250  0.250
Cs  0.750  0.750  0.750
Se  0.500  0.500  0.500
P  0.000  0.000  0.000



Entry 5:
Computed, not measured: a relaxed ZnCr2Cl crystal at the GGA-PBEsol level of DFT.

SG = P4mm, No. 99
Formation energy from raw total energies = 18.9 kJ/mol of atoms

Cell lengths 2.975, 2.975, 7.136 Å; angles 90.00, 90.00, 90.00 degrees
Fractional coordinates of all 4 atoms:
Cr  0.000  0.000  0.040
Cr  0.500  0.500  0.209
Zn  0.000  0.000  0.425
Cl  0.500  0.500  0.826



Entry 6:
Computed, not measured: a relaxed HgOs2Pt crystal at the GGA-PBEsol level of DFT.

Formation enthalpy at 0 K = 0.563 eV/atom
SG = R-3m, No. 166

Cell lengths 2.793, 2.793, 9.288 Å; angles 81.35, 81.35, 60.00 degrees
Fractional coordinates of all 4 atoms:
Hg  0.000  0.000  0.000
Os  0.755  0.755  0.736
Os  0.245  0.245  0.264
Pt  0.500  0.500  0.500



Entry 7:
Computed, not measured: a relaxed Cr2ReW crystal at the GGA-PBEsol level of DFT.

Formation enthalpy at 0 K = 0.096 eV/atom
SG = Pm, No. 6

Cell lengths 2.619, 4.202, 4.929 Å; angles 90.00, 100.36, 90.00 degrees
Fractional coordinates of all 4 atoms:
Cr  0.754  0.500  0.246
Cr  0.003  0.000  0.007
Re  0.496  0.000  0.488
W  0.247  0.500  0.759



Entry 8:
Computed, not measured: a relaxed Li3Y4Ti4S4O10 crystal at the GGA-PBEsol level of DFT.

SG = C2/m, No. 12
Formation energy from raw total energies = -260.9 kJ/mol of atoms

Cell lengths 5.553, 5.553, 11.130 Å; angles 104.45, 89.97, 90.13 degrees
Fractional coordinates of all 25 atoms:
S  0.252  0.459  0.411
S  0.748  0.541  0.589
S  0.252  0.048  0.589
S  0.748  0.952  0.411
O  0.000  0.406  0.812
O  0.500  0.596  0.192
O  0.500  0.404  0.808
O  0.500  0.906  0.811
O  0.500  0.094  0.189
O  0.741  0.742  0.000
O  0.259  0.258  0.000
O  0.000  0.101  0.201
O  0.000  0.594  0.188
O  0.000  0.899  0.799
Ti  0.246  0.336  0.180
Ti  0.754  0.664  0.820
Ti  0.754  0.843  0.180
Ti  0.246  0.157  0.820
Li  0.000  0.500  0.000
Li  0.500  0.500  0.000
Li  0.500  0.000  0.000
Y  0.251  0.586  0.675
Y  0.251  0.912  0.325
Y  0.749  0.414  0.325
Y  0.749  0.088  0.675



Entry 9:
Computed, not measured: a relaxed K2TlHg crystal at the GGA-PBEsol level of DFT.

Formation enthalpy at 0 K = -0.117 eV/atom
SG = Cm, No. 8

Cell lengths 4.494, 5.890, 6.493 Å; angles 116.85, 110.25, 90.00 degrees
Fractional coordinates of all 4 atoms:
K  0.974  0.974  0.948
K  0.770  0.270  0.539
Hg  0.216  0.717  0.433
Tl  0.540  0.540  0.079



Entry 10:
Computed, not measured: a relaxed LiY2SiAu crystal at the GGA-PBEsol level of DFT.

SG = P4/mmm, No. 123
Formation energy from raw total energies = 13.1 kJ/mol of atoms

Cell lengths 4.177, 5.130, 5.130 Å; angles 90.00, 90.00, 90.00 degrees
Fractional coordinates of all 5 atoms:
Au  0.500  0.000  0.000
Y  0.000  0.500  0.000
Y  0.000  0.000  0.500
Li  0.000  0.000  0.000
Si  0.500  0.500  0.500



Entry 11:
Computed, not measured: a relaxed PRhSeBr2 crystal at the GGA-PBEsol level of DFT.

SG = P4/mmm, No. 123
Formation energy from raw total energies = 58.0 kJ/mol of atoms

Cell lengths 4.777, 4.871, 4.871 Å; angles 90.00, 90.00, 90.00 degrees
Fractional coordinates of all 5 atoms:
Br  0.000  0.000  0.500
Br  0.000  0.500  0.000
P  0.500  0.500  0.500
Rh  0.000  0.000  0.000
Se  0.500  0.000  0.000



Entry 12:
Computed, not measured: a relaxed BTeRhAu2 crystal at the GGA-PBEsol level of DFT.

SG = P4/mmm, No. 123
Formation energy from raw total energies = 75.7 kJ/mol of atoms

Cell lengths 3.822, 5.065, 5.065 Å; angles 90.00, 90.00, 90.00 degrees
Fractional coordinates of all 5 atoms:
Te  0.500  0.500  0.500
B  0.500  0.000  0.000
Au  0.000  0.500  0.000
Au  0.000  0.000  0.500
Rh  0.000  0.000  0.000



Number 1: calculated total energy -12.68 eV/cell. Number 2: calculated total energy -36.18 eV/cell. Number 3: calculated total energy -21.38 eV/cell. Number 4: calculated total energy -11.74 eV/cell. Number 5: calculated total energy -23.29 eV/cell. Number 6: calculated total energy -29.71 eV/cell. Number 7: calculated total energy -47.24 eV/cell. Number 8: calculated total energy -204.11 eV/cell. Number 9: calculated total energy -5.93 eV/cell. Number 10: calculated total energy -24.60 eV/cell. Number 11: calculated total energy -18.52 eV/cell. Number 12: calculated total energy -22.61 eV/cell.